A geometry-optimized ScAlGaAu structure, computed with PBE-GGA.

It has space group F-43m (No. 216), with a = 6.601 Å, b = 6.601 Å, c = 6.601 Å, α = 90.00°, β = 90.00° and γ = 90.00°. The inequivalent atoms are Sc at (0.000, 0.000, 0.000), Al at (0.000, 0.000, 0.500), Ga at (0.250, 0.250, 0.750) and Au at (0.250, 0.250, 0.250).

Its mass density is 7.82 g/cm³. For the formation enthalpy at 0 K, the calculation gives -0.508 eV per atom. As for the density of states at the Fermi level: 0.29 states/eV per atom. Its crystal system is cubic.